First-principles (meta-GGA SCAN) data for a crystal of KLi2Fe relaxed with PBEsol, as listed in Alexandria via LeMat-Bulk.

Summary:
For the excess energy over the best structure of this formula in the dataset, the calculation gives 146 meV per atom. Its total moment is 2.97 Bohr magnetons per cell. As for the volume: 20.855 Å³ per atom.

a = 5.7307 Å, b = 5.7307 Å, c = 2.7809 Å
α = 90.00°, β = 90.00°, γ = 114.02°
Atoms (fractional coordinates):
K (0.0000, 0.0000, 0.0000)
Li (0.0000, 0.5000, 0.5000)
Li (0.5000, 0.0000, 0.5000)
Fe (0.5000, 0.5000, 0.0000)

=====

First-principles (meta-GGA SCAN) data for a crystal of KLi2Fe relaxed with PBEsol, as listed in Alexandria via LeMat-Bulk.

Summary:
For the excess energy over the best structure of this formula in the dataset, the calculation gives 149 meV per atom. Its total moment is 2.87 Bohr magnetons per cell. As for the volume: 20.561 Å³ per atom.

a = 5.3952 Å, b = 5.3952 Å, c = 2.8254 Å
α = 90.00°, β = 90.00°, γ = 90.00°
Atoms (fractional coordinates):
K (0.0000, 0.0000, 0.0000)
Li (0.0000, 0.5000, 0.5000)
Li (0.5000, 0.0000, 0.5000)
Fe (0.5000, 0.5000, 0.0000)

=====

First-principles (meta-GGA SCAN) data for a crystal of KLi2Fe relaxed with PBEsol, as listed in Alexandria via LeMat-Bulk.

Summary:
For the excess energy over the best structure of this formula in the dataset, the calculation gives 142 meV per atom. Its total moment is 2.81 Bohr magnetons per cell. As for the volume: 21.013 Å³ per atom.

a = 5.8293 Å, b = 5.8293 Å, c = 2.8004 Å
α = 97.25°, β = 97.25°, γ = 114.70°
Atoms (fractional coordinates):
K (0.0000, 0.0000, 0.0000)
Li (0.0000, 0.5000, 0.5000)
Li (0.5000, 0.0000, 0.5000)
Fe (0.5000, 0.5000, 0.0000)

=====

Copy entry 1 word for word.
First-principles (meta-GGA SCAN) data for a crystal of KLi2Fe relaxed with PBEsol, as listed in Alexandria via LeMat-Bulk.

Summary:
For the excess energy over the best structure of this formula in the dataset, the calculation gives 146 meV per atom. Its total moment is 2.97 Bohr magnetons per cell. As for the volume: 20.855 Å³ per atom.

a = 5.7307 Å, b = 5.7307 Å, c = 2.7809 Å
α = 90.00°, β = 90.00°, γ = 114.02°
Atoms (fractional coordinates):
K (0.0000, 0.0000, 0.0000)
Li (0.0000, 0.5000, 0.5000)
Li (0.5000, 0.0000, 0.5000)
Fe (0.5000, 0.5000, 0.0000)

=====

> The lowest excess energy over the best structure of this formula in the dataset belongs to which entry?

number 3

=====

> Look up the excess energy over the best structure of this formula in the dataset of the third one.

142 meV per atom